[1]
VASP calculation (PBE) on a relaxed structure of NpCu5Rh6.

Structure (POSCAR):
```
NpCu5Rh6
1.0
3.979 0.002 -0.840
-0.003 6.888 -0.001
-0.743 0.000 6.319
Np Rh Cu
1 6 5
direct
0.000 0.000 0.000 Np
0.834 0.747 0.667 Rh
0.834 0.253 0.667 Rh
0.500 0.249 0.000 Rh
0.500 0.751 0.000 Rh
0.166 0.747 0.333 Rh
0.166 0.253 0.333 Rh
0.665 0.500 0.330 Cu
0.324 0.000 0.646 Cu
0.000 0.500 0.000 Cu
0.676 0.000 0.354 Cu
0.335 0.500 0.670 Cu
```

Values from the calculation:
* M_tot: 0.009 μB per atom
* formation enthalpy at 0 K: -0.0890 eV/atom
* N(E_F): 10.87 states/eV/f.u.

[2]
VASP calculation (PBE) on a relaxed structure of Pm12Ho7Pu.

Structure (POSCAR):
```
Pm12Ho7Pu
1.0
-4.307 -4.101 -1.596
6.685 -0.316 -9.312
4.111 -4.933 9.501
Pm Ho Pu
12 7 1
direct
0.087 0.587 0.173 Pm
0.086 0.173 0.587 Pm
0.572 0.647 0.000 Pm
0.428 0.000 0.354 Pm
0.499 0.413 0.587 Pm
0.074 0.646 0.647 Pm
0.926 0.354 0.353 Pm
0.501 0.587 0.413 Pm
0.572 0.000 0.646 Pm
0.428 0.353 0.000 Pm
0.914 0.827 0.413 Pm
0.913 0.413 0.827 Pm
0.117 0.760 0.000 Ho
0.883 0.000 0.241 Ho
0.643 0.759 0.760 Ho
0.500 0.000 0.000 Ho
0.357 0.241 0.240 Ho
0.117 0.000 0.759 Ho
0.883 0.240 0.000 Ho
0.000 0.000 0.000 Pu
```

Values from the calculation:
* M_tot: 0.293 μB per atom
* formation enthalpy at 0 K: 0.2354 eV/atom
* N(E_F): 32.25 states/eV/f.u.

[3]
VASP calculation (PBE) on a relaxed structure of Nd2Ho3In.

Structure (POSCAR):
```
Nd2Ho3In
1.0
4.929 0.000 0.000
0.000 4.636 -1.568
0.000 0.117 7.987
Nd Ho In
2 3 1
direct
0.000 0.662 0.324 Nd
0.000 0.338 0.676 Nd
0.500 0.164 0.328 Ho
0.500 0.500 0.000 Ho
0.500 0.836 0.672 Ho
0.000 0.000 0.000 In
```

Values from the calculation:
* M_tot: 0.000 μB per atom
* formation enthalpy at 0 K: -0.1464 eV/atom
* E above lowest polymorph: 0 meV per atom
* N(E_F): 6.97 states/eV/f.u.

[4]
VASP calculation (PBE) on a relaxed structure of LiMnAlNi.

Structure (POSCAR):
```
LiMnAlNi
1.0
-2.060 -0.030 -3.566
-2.276 -3.272 -1.036
-4.109 0.269 -0.007
Ni Mn Al Li
1 1 1 1
direct
0.750 0.750 0.750 Ni
0.500 0.500 0.500 Mn
0.000 0.000 0.000 Al
0.250 0.250 0.250 Li
```

Values from the calculation:
* M_tot: 0.770 μB per atom
* formation enthalpy at 0 K: -0.2402 eV/atom
* N(E_F): 2.70 states/eV/f.u.

[5]
VASP calculation (PBE) on a relaxed structure of TcHPtW2.

Structure (POSCAR):
```
TcHPtW2
1.0
4.018 0.000 0.000
0.000 4.018 0.000
0.000 0.000 3.968
H W Pt Tc
1 2 1 1
direct
0.000 0.000 0.000 H
0.000 0.500 0.000 W
0.500 0.000 0.000 W
0.000 0.000 0.500 Pt
0.500 0.500 0.500 Tc
```

Values from the calculation:
* M_tot: 0.000 μB per atom
* E above lowest polymorph: 90 meV per atom
* N(E_F): 3.25 states/eV/f.u.

[6]
VASP calculation (PBE) on a relaxed structure of Nd4Cd5Ga2.

Structure (POSCAR):
```
Nd4Cd5Ga2
1.0
3.900 0.000 0.000
0.000 7.744 0.034
0.000 -0.703 9.691
Nd Cd Ga
4 5 2
direct
0.500 0.746 0.564 Nd
0.500 0.174 0.864 Nd
0.500 0.254 0.436 Nd
0.500 0.826 0.136 Nd
0.000 0.559 0.309 Cd
0.000 0.181 0.151 Cd
0.000 0.500 0.000 Cd
0.000 0.819 0.849 Cd
0.000 0.441 0.691 Cd
0.000 0.059 0.629 Ga
0.000 0.941 0.371 Ga
```

Values from the calculation:
* M_tot: 0.000 μB per atom
* formation enthalpy at 0 K: -0.3594 eV/atom
* N(E_F): 9.06 states/eV/f.u.

For the records above, the corresponding raw total energy values read -78.60, -98.68, -26.89, -21.57, -45.51, -33.65 eV per cell.